#i
Compound: NdDyAlPd
Source: Alexandria
Functional: PBE
Structure: relaxed

The spin magnetization is 0.00 μB per formula unit.

The space group is Amm2 (No. 38) and the conventional cell measures 4.3999, 3.8943 and 11.5205 Å, with angles of 90.00, 90.00 and 90.00 degrees. The asymmetric unit holds Nd at (0.0000, 0.0000, 0.0000), Dy at (0.5000, 0.0000, 0.7055), Al at (0.5000, 0.0000, 0.4124) and Pd at (0.0000, 0.0000, 0.2742).

***

#ii
Compound: NdDyAlPd
Source: Alexandria
Functional: PBE
Structure: relaxed

The spin magnetization is 0.00 μB per formula unit.

The space group is F-43m (No. 216) and the conventional cell measures 7.2790, 7.2790 and 7.2790 Å, with angles of 90.00, 90.00 and 90.00 degrees. The asymmetric unit holds Nd at (0.0000, 0.0000, 0.0000), Dy at (0.0000, 0.0000, 0.5000), Al at (0.2500, 0.2500, 0.2500) and Pd at (0.2500, 0.2500, 0.7500).

***

#i comes first in stability; the runner-up is 0.064 eV/atom higher.

***

#i
Compound: NdDyAlTl
Source: Alexandria
Functional: PBE
Structure: relaxed

The spin magnetization is 0.00 μB per formula unit.

The space group is P4mm (No. 99) and the conventional cell measures 3.7150, 3.7150 and 7.7250 Å, with angles of 90.00, 90.00 and 90.00 degrees. The asymmetric unit holds Nd at (0.0000, 0.0000, 0.0000), Dy at (0.0000, 0.0000, 0.4725), Al at (0.5000, 0.5000, 0.2467) and Tl at (0.5000, 0.5000, 0.7228).

***

#ii
Compound: NdDyAlTl
Source: Alexandria
Functional: PBE
Structure: relaxed

The spin magnetization is 0.00 μB per formula unit.

The space group is F-43m (No. 216) and the conventional cell measures 7.5377, 7.5377 and 7.5377 Å, with angles of 90.00, 90.00 and 90.00 degrees. The asymmetric unit holds Nd at (0.0000, 0.0000, 0.0000), Dy at (0.0000, 0.0000, 0.5000), Al at (0.2500, 0.2500, 0.2500) and Tl at (0.2500, 0.2500, 0.7500).

***

#i comes first in stability; the runner-up is 0.027 eV/atom higher.

***

#i
Compound: NdDyTmAl
Source: Alexandria
Functional: PBE
Structure: relaxed

The spin magnetization is 0.00 μB per formula unit.

The space group is P4mm (No. 99) and the conventional cell measures 3.5216, 3.5216 and 9.0615 Å, with angles of 90.00, 90.00 and 90.00 degrees. The asymmetric unit holds Nd at (0.0000, 0.0000, 0.0000), Dy at (0.5000, 0.5000, 0.7051), Tm at (0.5000, 0.5000, 0.2876) and Al at (0.0000, 0.0000, 0.4934).

***

#ii
Compound: NdDyTmAl
Source: Alexandria
Functional: PBE
Structure: relaxed

The spin magnetization is 0.00 μB per formula unit.

The space group is F-43m (No. 216) and the conventional cell measures 7.6091, 7.6091 and 7.6091 Å, with angles of 90.00, 90.00 and 90.00 degrees. The asymmetric unit holds Nd at (0.0000, 0.0000, 0.0000), Dy at (0.0000, 0.0000, 0.5000), Tm at (0.2500, 0.2500, 0.2500) and Al at (0.2500, 0.2500, 0.7500).

***

#i comes first in stability; the runner-up is 0.129 eV/atom higher.